{"formula": "LiIn3Pd5", "functional": "GGA-PBE", "state": "optimized geometry", "cell": [[-5.090, 0.113, -2.280], [-1.716, -6.954, 3.486], [-1.542, 6.839, 3.782]], "species": ["Pd", "In", "Pd", "In", "In", "In", "Pd", "In", "Pd", "Li", "Pd", "Pd", "Li", "Pd", "Pd", "In", "Pd", "Pd"], "fractional_positions": [[0.500, 0.333, 0.667], [0.250, 0.000, 0.371], [0.000, 0.333, 0.667], [0.250, 0.371, 0.000], [0.750, 0.371, 0.371], [0.750, 0.000, 0.629], [0.750, 0.000, 0.289], [0.750, 0.629, 0.000], [0.500, 0.667, 0.333], [0.000, 0.000, 0.000], [0.250, 0.711, 0.000], [0.750, 0.289, 0.000], [0.500, 0.000, 0.000], [0.250, 0.289, 0.289], [0.250, 0.000, 0.711], [0.250, 0.629, 0.629], [0.000, 0.667, 0.333], [0.750, 0.711, 0.711]], "crystal_system": "hexagonal", "total_energy_ev_per_atom": -4.5129, "dos_ef_per_ev_atom": 0.284, "ef_ev_per_atom": -0.50}

{"formula": "LiIn4Pd15", "functional": "GGA-PBE", "state": "optimized geometry", "cell": [[-0.911, -3.826, -0.871], [3.894, -0.991, 0.284], [-2.388, -3.838, 19.348]], "species": ["Pd", "In", "Pd", "In", "Pd", "Pd", "Pd", "Pd", "Li", "Pd", "Pd", "In", "Pd", "Pd", "Pd", "In", "Pd", "Pd", "Pd", "Pd"], "fractional_positions": [[0.500, 0.000, 0.094], [0.000, 0.000, 0.805], [0.000, 0.500, 0.500], [0.000, 0.000, 0.398], [0.500, 0.500, 0.194], [0.500, 0.500, 0.806], [0.500, 0.000, 0.704], [0.000, 0.500, 0.906], [0.000, 0.000, 0.000], [0.500, 0.500, 0.000], [0.500, 0.000, 0.500], [0.000, 0.000, 0.195], [0.000, 0.500, 0.094], [0.500, 0.500, 0.398], [0.500, 0.500, 0.602], [0.000, 0.000, 0.602], [0.000, 0.500, 0.704], [0.500, 0.000, 0.296], [0.000, 0.500, 0.296], [0.500, 0.000, 0.906]], "crystal_system": "tetragonal", "total_energy_ev_per_atom": -4.9230, "dos_ef_per_ev_atom": 1.038, "ef_ev_per_atom": -0.39}

{"formula": "Li6In3Pd", "functional": "GGA-PBE", "state": "optimized geometry", "cell": [[-3.039, 6.930, 0.248], [-2.509, -3.604, 6.167], [7.443, 0.944, 1.014]], "species": ["Li", "Li", "Pd", "Li", "Li", "Li", "Li", "In", "Pd", "In", "Li", "Li", "Li", "Li", "Li", "In", "In", "In", "Li", "In"], "fractional_positions": [[0.872, 0.987, 0.309], [0.987, 0.309, 0.872], [0.000, 0.000, 0.000], [0.691, 0.128, 0.013], [0.128, 0.013, 0.691], [0.684, 0.222, 0.435], [0.309, 0.872, 0.987], [0.613, 0.723, 0.915], [0.500, 0.500, 0.500], [0.085, 0.387, 0.277], [0.013, 0.691, 0.128], [0.222, 0.435, 0.684], [0.316, 0.778, 0.565], [0.435, 0.684, 0.222], [0.565, 0.316, 0.778], [0.387, 0.277, 0.085], [0.723, 0.915, 0.613], [0.915, 0.613, 0.723], [0.778, 0.565, 0.316], [0.277, 0.085, 0.387]], "crystal_system": "trigonal", "total_energy_ev_per_atom": -2.8060, "dos_ef_per_ev_atom": 0.272, "ef_ev_per_atom": -0.32}

{"formula": "LiInPd2", "functional": "GGA-PBE", "state": "optimized geometry", "cell": [[-3.038, -0.393, -2.003], [1.307, -3.772, -1.242], [-1.931, -1.746, 3.271]], "species": ["In", "Pd", "Li", "Pd"], "fractional_positions": [[0.500, 0.000, 0.000], [0.000, 0.000, 0.500], [0.500, 0.500, 0.500], [0.000, 0.500, 0.000]], "crystal_system": "tetragonal", "total_energy_ev_per_atom": -4.3384, "dos_ef_per_ev_atom": 0.239, "ef_ev_per_atom": -0.58}

{"formula": "Li12In6Pd", "functional": "GGA-PBE", "state": "optimized geometry", "cell": [[7.132, 0.416, -0.421], [-0.470, 7.128, -0.421], [0.368, 0.416, 7.135]], "species": ["Li", "Li", "In", "Li", "In", "Li", "Li", "In", "Li", "Li", "Li", "In", "Li", "Li", "Li", "In", "In", "Pd", "Li"], "fractional_positions": [[0.147, 0.039, 0.368], [0.435, 0.525, 0.803], [0.726, 0.268, 0.881], [0.565, 0.475, 0.197], [0.274, 0.732, 0.119], [0.039, 0.368, 0.147], [0.475, 0.197, 0.565], [0.268, 0.881, 0.726], [0.803, 0.435, 0.525], [0.525, 0.803, 0.435], [0.632, 0.853, 0.961], [0.881, 0.726, 0.268], [0.961, 0.632, 0.853], [0.368, 0.147, 0.039], [0.197, 0.565, 0.475], [0.732, 0.119, 0.274], [0.119, 0.274, 0.732], [0.000, 0.000, 0.000], [0.853, 0.961, 0.632]], "crystal_system": "trigonal", "total_energy_ev_per_atom": -2.6305, "dos_ef_per_ev_atom": 0.350, "ef_ev_per_atom": -0.28}

{"formula": "Li6InPd3", "functional": "GGA-PBE", "state": "optimized geometry", "cell": [[4.836, 0.000, 0.000], [0.000, 8.861, -1.913], [0.000, -3.843, 8.211]], "species": ["Li", "Li", "Li", "Li", "Li", "Li", "Li", "Li", "In", "Pd", "Li", "Pd", "Li", "Li", "In", "Pd", "Pd", "Li", "Pd", "Pd"], "fractional_positions": [[0.819, 0.897, 0.454], [0.319, 0.454, 0.897], [0.819, 0.546, 0.103], [0.264, 0.999, 0.001], [0.278, 0.684, 0.316], [0.567, 0.641, 0.733], [0.067, 0.733, 0.641], [0.778, 0.316, 0.684], [0.506, 0.845, 0.155], [0.507, 0.294, 0.053], [0.764, 0.001, 0.999], [0.651, 0.587, 0.413], [0.067, 0.359, 0.267], [0.319, 0.103, 0.546], [0.006, 0.155, 0.845], [0.007, 0.706, 0.947], [0.507, 0.947, 0.706], [0.567, 0.267, 0.359], [0.007, 0.053, 0.294], [0.151, 0.413, 0.587]], "crystal_system": "orthorhombic", "total_energy_ev_per_atom": -3.3108, "dos_ef_per_ev_atom": 0.386, "ef_ev_per_atom": -0.33}

{"formula": "Li6InPd", "functional": "GGA-PBE", "state": "optimized geometry", "cell": [[4.699, 0.000, 0.000], [0.000, 5.239, -2.486], [0.000, -0.613, 5.767]], "species": ["Li", "In", "Li", "Li", "Li", "Li", "Pd", "Li"], "fractional_positions": [[0.000, 0.827, 0.173], [0.500, 0.670, 0.330], [0.000, 0.845, 0.673], [0.500, 0.172, 0.328], [0.000, 0.327, 0.155], [0.500, 0.672, 0.828], [0.500, 0.171, 0.829], [0.000, 0.317, 0.683]], "crystal_system": "orthorhombic", "total_energy_ev_per_atom": -2.6714, "dos_ef_per_ev_atom": 0.387, "ef_ev_per_atom": -0.24, "de_polymorph_ev_per_fu": 0.03}

{"formula": "Li6InPd5", "functional": "GGA-PBE", "state": "optimized geometry", "cell": [[8.463, -0.242, 0.000], [2.035, 3.489, 0.000], [1.017, 1.744, 5.836]], "species": ["Pd", "Li", "In", "Li", "Li", "Li", "Pd", "Li", "Pd", "Li", "Pd", "Pd"], "fractional_positions": [[0.500, 0.167, 0.667], [0.273, 0.227, 0.000], [0.000, 0.000, 0.000], [0.738, 0.436, 0.651], [0.262, 0.564, 0.349], [0.738, 0.087, 0.349], [0.500, 0.500, 0.000], [0.262, 0.913, 0.651], [0.000, 0.337, 0.326], [0.727, 0.773, 0.000], [0.000, 0.663, 0.674], [0.500, 0.833, 0.333]], "crystal_system": "monoclinic", "total_energy_ev_per_atom": -3.7912, "dos_ef_per_ev_atom": 0.192, "ef_ev_per_atom": -0.44, "de_polymorph_ev_per_fu": 0.00}